1.
The following is a DFT calculation (PBE) of a geometry-optimized SbIrSe2N structure. Values from VASP.

Computed properties:
As for the total energy: -20.71 eV per cell. As for the excess energy over the best structure of this formula in the dataset: 1228.5 meV per atom. The formation energy without anion corrections is 1.51 eV/atom. The space group is P4/mmm. For the spin magnetization, the calculation gives 0.0 μB/cell.

The structure in Quantum ESPRESSO input format:
```
&SYSTEM
  ibrav = 0, nat = 5, ntyp = 4
/
ATOMIC_SPECIES
Sb 121.76 Sb.upf
Ir 192.22 Ir.upf
Se 78.96 Se.upf
N 14.01 N.upf
CELL_PARAMETERS angstrom
5.278 0.000 0.000
0.000 5.278 0.000
0.000 0.000 3.752
ATOMIC_POSITIONS crystal
Sb 0.000 0.000 0.000
Ir 0.500 0.500 0.500
Se 0.000 0.500 0.000
Se 0.500 0.000 0.000
N 0.000 0.000 0.500
```

2.
The following is a DFT calculation (PBE) of a geometry-optimized BaNdPa2O8 structure. Values from VASP.

Computed properties:
As for the total energy: -104.15 eV per cell. The formation energy without anion corrections is -3.23 eV/atom. The space group is I-4m2. For the spin magnetization, the calculation gives 0.9 μB/cell.

The structure in Quantum ESPRESSO input format:
```
&SYSTEM
  ibrav = 0, nat = 12, ntyp = 4
/
ATOMIC_SPECIES
Ba 137.33 Ba.upf
Nd 144.24 Nd.upf
Pa 231.04 Pa.upf
O 16.00 O.upf
CELL_PARAMETERS angstrom
-2.833 2.833 5.493
2.833 -2.833 5.493
2.833 2.833 -5.493
ATOMIC_POSITIONS crystal
Ba 0.000 0.000 0.000
Nd 0.250 0.750 0.500
Pa 0.500 0.500 0.000
Pa 0.750 0.250 0.500
O 0.130 0.152 0.542
O 0.130 0.588 0.978
O 0.412 0.390 0.542
O 0.412 0.870 0.022
O 0.610 0.152 0.022
O 0.610 0.588 0.458
O 0.848 0.390 0.978
O 0.848 0.870 0.458
```

3.
The following is a DFT calculation (PBE) of a geometry-optimized BeFe2Co structure. Values from VASP.

Computed properties:
As for the total energy: -28.02 eV per cell. The space group is P4/mmm. The value obtained for the formation energy is -66.8 meV per atom. For the spin magnetization, the calculation gives 6.3 μB/cell.

The structure in Quantum ESPRESSO input format:
```
&SYSTEM
  ibrav = 0, nat = 4, ntyp = 3
/
ATOMIC_SPECIES
Be 9.01 Be.upf
Fe 55.84 Fe.upf
Co 58.93 Co.upf
CELL_PARAMETERS angstrom
3.496 0.000 0.000
0.000 3.496 0.000
0.000 0.000 3.469
ATOMIC_POSITIONS crystal
Be 0.000 0.000 0.000
Fe 0.000 0.500 0.500
Fe 0.500 0.000 0.500
Co 0.500 0.500 0.000
```

4.
The following is a DFT calculation (PBE) of a geometry-optimized Mn2Ni8Ge structure. Values from VASP.

Computed properties:
As for the total energy: -68.51 eV per cell. As for the excess energy over the best structure of this formula in the dataset: 84.6 meV per atom. The space group is C2/m. The value obtained for the formation energy is 63.7 meV per atom. For the spin magnetization, the calculation gives 10.0 μB/cell.

The structure in Quantum ESPRESSO input format:
```
&SYSTEM
  ibrav = 0, nat = 11, ntyp = 3
/
ATOMIC_SPECIES
Mn 54.94 Mn.upf
Ni 58.69 Ni.upf
Ge 72.64 Ge.upf
CELL_PARAMETERS angstrom
3.216 -6.199 0.000
3.216 6.199 0.000
-2.725 0.000 3.370
ATOMIC_POSITIONS crystal
Mn 0.188 0.812 0.000
Mn 0.812 0.188 0.000
Ni 0.054 0.054 0.295
Ni 0.124 0.393 0.778
Ni 0.310 0.690 0.500
Ni 0.393 0.124 0.778
Ni 0.607 0.876 0.222
Ni 0.690 0.310 0.500
Ni 0.876 0.607 0.222
Ni 0.946 0.946 0.705
Ge 0.500 0.500 0.500
```

5.
The following is a DFT calculation (PBE) of a geometry-optimized Co2TcOsCl structure. Values from VASP.

Computed properties:
As for the total energy: -30.77 eV per cell. The formation energy without anion corrections is 1.38 eV/atom. The space group is P4/mmm. For the spin magnetization, the calculation gives 5.1 μB/cell.

The structure in Quantum ESPRESSO input format:
```
&SYSTEM
  ibrav = 0, nat = 5, ntyp = 4
/
ATOMIC_SPECIES
Co 58.93 Co.upf
Tc 98.00 Tc.upf
Os 190.23 Os.upf
Cl 35.45 Cl.upf
CELL_PARAMETERS angstrom
4.063 0.000 0.000
0.000 4.063 0.000
0.000 0.000 4.435
ATOMIC_POSITIONS crystal
Co 0.000 0.500 0.000
Co 0.500 0.000 0.000
Tc 0.000 0.000 0.500
Os 0.500 0.500 0.500
Cl 0.500 0.500 0.000
```

6.
The following is a DFT calculation (PBE) of a geometry-optimized Cu2P2Se structure. Values from VASP.

Computed properties:
As for the total energy: -21.17 eV per cell. As for the excess energy over the best structure of this formula in the dataset: 0.0 meV per atom. The formation energy without anion corrections is 0.27 eV/atom. The space group is I4/mmm. For the spin magnetization, the calculation gives 0.0 μB/cell.

The structure in Quantum ESPRESSO input format:
```
&SYSTEM
  ibrav = 0, nat = 5, ntyp = 3
/
ATOMIC_SPECIES
Cu 63.55 Cu.upf
P 30.97 P.upf
Se 78.96 Se.upf
CELL_PARAMETERS angstrom
-2.056 2.056 4.657
2.056 -2.056 4.657
2.056 2.056 -4.657
ATOMIC_POSITIONS crystal
Cu 0.250 0.750 0.500
Cu 0.750 0.250 0.500
P 0.118 0.118 0.000
P 0.882 0.882 0.000
Se 0.500 0.500 0.000
```

7.
The following is a DFT calculation (PBE) of a geometry-optimized Sc3SiMo structure. Values from VASP.

Computed properties:
As for the total energy: -32.34 eV per cell. As for the excess energy over the best structure of this formula in the dataset: 0.0 meV per atom. The formation energy without anion corrections is 0.58 eV/atom. The space group is Pm-3m. For the spin magnetization, the calculation gives 0.0 μB/cell.

The structure in Quantum ESPRESSO input format:
```
&SYSTEM
  ibrav = 0, nat = 5, ntyp = 3
/
ATOMIC_SPECIES
Sc 44.96 Sc.upf
Si 28.09 Si.upf
Mo 95.94 Mo.upf
CELL_PARAMETERS angstrom
4.937 0.000 0.000
0.000 4.937 0.000
0.000 0.000 4.937
ATOMIC_POSITIONS crystal
Sc 0.000 0.000 0.500
Sc 0.000 0.500 0.000
Sc 0.500 0.000 0.000
Si 0.500 0.500 0.500
Mo 0.000 0.000 0.000
```

8.
The following is a DFT calculation (PBE) of a geometry-optimized K2Se3 structure. Values from VASP.

Computed properties:
As for the total energy: -15.26 eV per cell. As for the excess energy over the best structure of this formula in the dataset: 285.2 meV per atom. The formation energy without anion corrections is -0.52 eV/atom. The space group is P-3m1. For the spin magnetization, the calculation gives 0.5 μB/cell.

The structure in Quantum ESPRESSO input format:
```
&SYSTEM
  ibrav = 0, nat = 5, ntyp = 2
/
ATOMIC_SPECIES
K 39.10 K.upf
Se 78.96 Se.upf
CELL_PARAMETERS angstrom
4.551 0.000 0.000
-2.276 3.941 0.000
0.000 0.000 10.055
ATOMIC_POSITIONS crystal
K 0.333 0.667 0.317
K 0.667 0.333 0.683
Se 0.000 0.000 0.500
Se 0.333 0.667 0.971
Se 0.667 0.333 0.029
```

9.
The following is a DFT calculation (PBE) of a geometry-optimized K3Ba2S2I3 structure. Values from VASP.

Computed properties:
As for the total energy: -35.54 eV per cell. The formation energy without anion corrections is -1.55 eV/atom. The space group is I4/mmm. For the spin magnetization, the calculation gives 0.0 μB/cell.

The structure in Quantum ESPRESSO input format:
```
&SYSTEM
  ibrav = 0, nat = 10, ntyp = 4
/
ATOMIC_SPECIES
K 39.10 K.upf
Ba 137.33 Ba.upf
S 32.06 S.upf
I 126.90 I.upf
CELL_PARAMETERS angstrom
-2.886 2.886 14.743
2.886 -2.886 14.743
2.886 2.886 -14.743
ATOMIC_POSITIONS crystal
K 0.000 0.000 0.000
K 0.386 0.386 0.000
K 0.614 0.614 0.000
Ba 0.250 0.750 0.500
Ba 0.750 0.250 0.500
S 0.284 0.284 0.000
S 0.716 0.716 0.000
I 0.124 0.124 0.000
I 0.500 0.500 0.000
I 0.876 0.876 0.000
```

10.
The following is a DFT calculation (PBE) of a geometry-optimized RbRh3Br structure. Values from VASP.

Computed properties:
As for the total energy: -13.55 eV per cell. As for the excess energy over the best structure of this formula in the dataset: 1344.2 meV per atom. The formation energy without anion corrections is 2.23 eV/atom. The space group is Pm-3m. For the spin magnetization, the calculation gives 3.4 μB/cell.

The structure in Quantum ESPRESSO input format:
```
&SYSTEM
  ibrav = 0, nat = 5, ntyp = 3
/
ATOMIC_SPECIES
Rb 85.47 Rb.upf
Rh 102.91 Rh.upf
Br 79.90 Br.upf
CELL_PARAMETERS angstrom
5.094 0.000 0.000
0.000 5.094 0.000
0.000 0.000 5.094
ATOMIC_POSITIONS crystal
Rb 0.000 0.000 0.000
Rh 0.000 0.000 0.500
Rh 0.000 0.500 0.000
Rh 0.500 0.000 0.000
Br 0.500 0.500 0.500
```

11.
The following is a DFT calculation (PBE) of a geometry-optimized LiSbCl6 structure. Values from VASP.

Computed properties:
As for the total energy: -24.38 eV per cell. As for the excess energy over the best structure of this formula in the dataset: 40.8 meV per atom. The formation energy without anion corrections is -0.91 eV/atom. The space group is R-3. For the spin magnetization, the calculation gives 0.0 μB/cell.

The structure in Quantum ESPRESSO input format:
```
&SYSTEM
  ibrav = 0, nat = 8, ntyp = 3
/
ATOMIC_SPECIES
Li 6.94 Li.upf
Sb 121.76 Sb.upf
Cl 35.45 Cl.upf
CELL_PARAMETERS angstrom
3.234 1.867 5.768
-3.234 1.867 5.768
0.000 -3.735 5.768
ATOMIC_POSITIONS crystal
Li 0.000 0.000 0.000
Sb 0.500 0.500 0.500
Cl 0.116 0.414 0.728
Cl 0.272 0.884 0.586
Cl 0.414 0.728 0.116
Cl 0.586 0.272 0.884
Cl 0.728 0.116 0.414
Cl 0.884 0.586 0.272
```

12.
The following is a DFT calculation (PBE) of a geometry-optimized FePOs2 structure. Values from VASP.

Computed properties:
As for the total energy: -34.71 eV per cell. The space group is Pmmm. The value obtained for the formation energy is 405.1 meV per atom. For the spin magnetization, the calculation gives 2.0 μB/cell.

The structure in Quantum ESPRESSO input format:
```
&SYSTEM
  ibrav = 0, nat = 4, ntyp = 3
/
ATOMIC_SPECIES
Fe 55.84 Fe.upf
P 30.97 P.upf
Os 190.23 Os.upf
CELL_PARAMETERS angstrom
2.802 0.000 0.000
0.000 4.242 0.000
0.000 0.000 4.532
ATOMIC_POSITIONS crystal
Fe 0.000 0.000 0.000
P 0.500 0.000 0.500
Os 0.000 0.500 0.500
Os 0.500 0.500 0.000
```